(1)
Crystalline Pu2Pa3S8 at its relaxed geometry. Source: Alexandria, functional PBE.

a b c (Å): 4.7145 9.4687 8.1766
angles (deg): 125.38 90.00 90.00
Last column: nearest neighbours and their distance in Å.
Positions (direct):
1 S 0.0000 0.1158 0.2316  4 Pa 2.82-3.00, 1 S 3.09, 2 Pu 3.10
2 S 0.5000 0.1218 0.7597  3 Pa 2.80-2.86, 2 Pu 2.87-3.01
3 S 0.5000 0.8782 0.2403  3 Pa 2.80-2.86, 2 Pu 2.87-3.01
4 S 0.0000 0.8842 0.7684  4 Pa 2.82-3.00, 1 S 3.09, 2 Pu 3.10
5 S 0.0000 0.3767 0.7533  2 Pa 2.72, 2 Pu 2.78
6 S 0.0000 0.6233 0.2467  2 Pa 2.72, 2 Pu 2.78
7 S 0.5000 0.6379 0.7597  3 Pa 2.80-2.86, 2 Pu 2.87-3.01
8 S 0.5000 0.3621 0.2403  3 Pa 2.80-2.86, 2 Pu 2.87-3.01
9 Pu 0.5000 0.2667 0.5333  8 S 2.78-3.10
10 Pu 0.5000 0.7333 0.4667  8 S 2.78-3.10
11 Pa 0.0000 0.7290 0.0000  8 S 2.72-3.00
12 Pa 0.5000 0.0000 0.0000  8 S 2.80-2.82
13 Pa 0.0000 0.2710 0.0000  8 S 2.72-3.00

Values from the calculation:
As for the symmetry: No. 65. For the energy, the calculation gives -8.544 eV/atom. The energy relative to the lowest polymorph listed for this composition is 0 meV/atom. As for the uncorrected formation energy: -1.6078 eV/atom.

(2)
Crystalline RbMo2CI at its relaxed geometry. Source: Alexandria, functional PBE.

a b c (Å): 5.1601 5.0872 5.1601
angles (deg): 90.00 90.00 90.00
Last column: nearest neighbours and their distance in Å.
Positions (direct):
1 Mo 0.5000 0.0000 0.0000  2 I 2.58
2 Mo 0.0000 0.0000 0.5000  2 I 2.58
3 I 0.0000 0.0000 0.0000  2 C 2.54, 4 Mo 2.58
4 Rb 0.5000 0.5000 0.5000  8 Mo 3.62, 4 C 3.65
5 C 0.0000 0.5000 0.0000  2 I 2.54

Values from the calculation:
As for the symmetry: No. 123. For the energy, the calculation gives -4.082 eV/atom. The energy relative to the lowest polymorph listed for this composition is 0 meV/atom. As for the uncorrected formation energy: 2.5984 eV/atom.

(3)
Crystalline YSc2Re at its relaxed geometry. Source: Alexandria, functional PBE.

a b c (Å): 4.5643 3.1802 6.2844
angles (deg): 75.19 90.00 90.00
Last column: nearest neighbours and their distance in Å.
Positions (direct):
1 Y 0.0000 0.5356 0.5335  2 Re 2.97, 4 Sc 3.00-3.32, 2 Y 3.18
2 Sc 0.0000 0.9087 0.9812  2 Re 2.70, 1 Y 3.00
3 Sc 0.5000 0.2567 0.2120  1 Re 2.85, 6 Sc 3.06-3.18
4 Re 0.5000 0.7991 0.7732  3 Sc 2.70-2.85, 2 Y 2.97

Values from the calculation:
As for the symmetry: No. 6. For the energy, the calculation gives -7.718 eV/atom. The energy relative to the lowest polymorph listed for this composition is 164 meV/atom.

What did the second record say?
Crystalline RbMo2CI at its relaxed geometry. Source: Alexandria, functional PBE.

a b c (Å): 5.1601 5.0872 5.1601
angles (deg): 90.00 90.00 90.00
Last column: nearest neighbours and their distance in Å.
Positions (direct):
1 Mo 0.5000 0.0000 0.0000  2 I 2.58
2 Mo 0.0000 0.0000 0.5000  2 I 2.58
3 I 0.0000 0.0000 0.0000  2 C 2.54, 4 Mo 2.58
4 Rb 0.5000 0.5000 0.5000  8 Mo 3.62, 4 C 3.65
5 C 0.0000 0.5000 0.0000  2 I 2.54

Values from the calculation:
As for the symmetry: No. 123. For the energy, the calculation gives -4.082 eV/atom. The energy relative to the lowest polymorph listed for this composition is 0 meV/atom. As for the uncorrected formation energy: 2.5984 eV/atom.